Computed, not measured: a relaxed La2ThN3 crystal at the PBE level of DFT.

Output
Total moment in μB/f.u.: 0.0
Uncorrected energy in Ry/atom: -0.6249

Lattice parameters (Å, degrees): 3.7024 5.2197 11.1448 90.00 90.00 90.00
Closest atoms and distances in Å follow each position.
Space group Immm (No. 71)
Asymmetric unit:
La: 0.0000 0.0000 0.1665 x4  6 N 2.62-2.75
Th: 0.0000 0.0000 0.5000 x2  6 N 2.50-2.61
N: 0.0000 0.5000 0.1510 x4  2 Th 2.50, 4 La 2.62-2.75
N: 0.0000 0.5000 0.5000 x2  2 Th 2.61, 4 La 2.62